# 1
12
Lattice="3.905 -5.474 0.000 3.905 5.474 0.000 0.000 0.000 5.822" Properties=species:S:1:pos:R:3 comment="NdGa3PdRu | Alexandria | PBE-GGA | relaxed" dos_ef_per_ev_cell=5.244 spacegroup="Cmcm (63)" pbc="T T T"
Nd 3.905 3.206 4.367
Nd 3.905 -3.206 1.456
Ga 1.845 0.000 0.000
Ga 1.845 0.000 2.911
Ga 3.905 2.159 1.456
Ga 3.905 -2.159 4.367
Ga 5.966 0.000 0.000
Ga 5.966 0.000 2.911
Pd 3.905 0.318 4.367
Pd 3.905 -0.318 1.456
Ru 3.905 4.576 1.456
Ru 3.905 -4.576 4.367

***

# 2
6
Lattice="0.000 3.845 3.845 3.845 0.000 3.845 3.845 3.845 0.000" Properties=species:S:1:pos:R:3 comment="Cd4FeRe | Alexandria | PBE-GGA | relaxed" dos_ef_per_ev_cell=4.865 spacegroup="F-43m (216)" pbc="T T T"
Cd 0.963 0.963 0.963
Cd 2.883 2.883 0.963
Cd 2.883 0.963 2.883
Cd 0.963 2.883 2.883
Fe 5.768 5.768 5.768
Re 3.845 3.845 3.845

***

# 3
4
Lattice="5.024 0.000 0.000 0.000 5.024 0.000 0.000 0.000 4.238" Properties=species:S:1:pos:R:3 comment="KTlAg2 | Alexandria | PBE-GGA | relaxed" dos_ef_per_ev_cell=1.256 spacegroup="P4/mmm (123)" relative_energy_ev_per_fu=0.61 pbc="T T T"
K 0.000 0.000 0.000
Tl 2.512 2.512 0.000
Ag 0.000 2.512 2.119
Ag 2.512 0.000 2.119

***

DFT total energy for every record listed, in sequence, given in eV/atom: -5.12 -3.21 -2.13.